Entry 1:
Cu2HgOs after structural relaxation. Source: Alexandria via LeMat-Bulk, functional PBE-GGA.

The structure in POSCAR format:
```
Cu2HgOs
1.0
4.776 0.040 -0.002
-1.464 4.546 -0.002
0.001 0.002 2.712
Cu Hg Os
2 1 1
Direct
0.000 0.000 0.000
0.500 0.500 0.000
0.500 0.000 0.500
0.000 0.500 0.500
```

Values from the calculation:
Energy of formation from the pure elements = 478 meV/atom
ρ = 14.6 g/cm³
Calculated total energy = -4.45 eV per atom



Entry 2:
CuHgOs after structural relaxation. Source: Alexandria via LeMat-Bulk, functional PBE-GGA.

The structure in POSCAR format:
```
CuHgOs
1.0
2.828 0.000 0.000
-1.414 2.449 0.000
0.000 0.000 6.860
Cu Hg Os
1 1 1
Direct
0.000 0.000 0.987
0.667 0.333 0.324
0.333 0.667 0.689
```

Values from the calculation:
Energy of formation from the pure elements = 609 meV/atom
ρ = 15.9 g/cm³
Calculated total energy = -4.60 eV per atom



Entry 3:
Cu2HgOs after structural relaxation. Source: Alexandria via LeMat-Bulk, functional PBE-GGA.

The structure in POSCAR format:
```
Cu2HgOs
1.0
-0.764 -0.672 -2.515
3.656 0.371 -1.210
0.952 -5.519 1.185
Cu Hg Os
2 1 1
Direct
0.000 0.000 0.998
0.500 0.500 0.230
0.000 0.000 0.488
0.500 0.500 0.784
```

Values from the calculation:
Energy of formation from the pure elements = 558 meV/atom
ρ = 14.3 g/cm³
Calculated total energy = -4.37 eV per atom



Entry 4:
CuHgOs after structural relaxation. Source: Alexandria via LeMat-Bulk, functional PBE-GGA.

The structure in POSCAR format:
```
CuHgOs
1.0
-0.821 0.298 4.129
2.983 -0.980 2.821
1.812 3.041 2.298
Cu Hg Os
1 1 1
Direct
0.750 0.750 0.750
0.000 0.000 0.000
0.500 0.500 0.500
```

Values from the calculation:
Energy of formation from the pure elements = 1112 meV/atom
ρ = 14.2 g/cm³
Calculated total energy = -4.10 eV per atom



Entry 5:
CuHg4Os after structural relaxation. Source: Alexandria via LeMat-Bulk, functional PBE-GGA.

The structure in POSCAR format:
```
CuHg4Os
1.0
3.994 -3.227 2.281
-0.439 -5.596 -0.229
3.451 -2.956 -3.304
Cu Hg Os
1 4 1
Direct
0.000 0.000 0.000
0.875 0.375 0.375
0.375 0.375 0.875
0.375 0.875 0.375
0.375 0.375 0.375
0.750 0.750 0.750
```

Values from the calculation:
Energy of formation from the pure elements = 1129 meV/atom
ρ = 14.0 g/cm³
Calculated total energy = -1.63 eV per atom



Entry 6:
Cu2HgOs after structural relaxation. Source: Alexandria via LeMat-Bulk, functional PBE-GGA.

The structure in POSCAR format:
```
Cu2HgOs
1.0
-2.864 -3.793 1.138
-0.034 -0.968 4.790
-0.649 4.062 -2.639
Cu Hg Os
2 1 1
Direct
0.000 0.000 0.000
0.250 0.750 0.500
0.500 0.500 0.000
0.750 0.250 0.500
```

Values from the calculation:
Energy of formation from the pure elements = 660 meV/atom
ρ = 14.4 g/cm³
Calculated total energy = -4.27 eV per atom